DFT (PBE with a Hubbard U) results for a relaxed NpZnCo2O8 crystal.

final energy	-79.750	eV for the cell shown
crystal system	tetragonal
SG	I-4m2 (119)
Fermi-level density of states	4.703	states/eV/cell

Lattice parameters (Å, degrees): 5.764 5.764 5.764 109.53 109.53 109.36
Each line ends with the local moment (μB).
Fractional coordinates of all 12 atoms:
Np 0.000 0.000 0.000  0.24
Zn 0.250 0.750 0.500  0.03
Co 0.750 0.250 0.500  2.70
Co 0.500 0.500 0.000  2.86
O 0.353 0.063 0.289  0.09
O 0.318 0.514 0.196  0.32
O 0.318 0.122 0.804  0.32
O 0.774 0.063 0.711  0.09
O 0.878 0.682 0.196  0.32
O 0.937 0.226 0.289  0.09
O 0.937 0.647 0.711  0.09
O 0.486 0.682 0.804  0.32